Crystalline K3V2F7 at its relaxed geometry, computed with PBE+U.

Computed properties:
Energy above the lowest structure with this stoichiometry   0.0000 eV per atom
Calculated volume   16.10 A^3/atom
Density of states at the Fermi level   0.000 states/eV/atom
Crystal system   tetragonal

Cell lengths 4.2122, 4.2122, 11.2904 Å; angles 100.75, 100.75, 90.00 degrees
With the nearest neighbours (Å) after each atom.
Sites, in units of the cell vectors:
1 K 0.5000 0.5000 0.0000  12 F 2.97-2.98
2 K 0.3142 0.3142 0.6284  5 F 2.61-2.87
3 K 0.6858 0.6858 0.3716  5 F 2.61-2.87
4 F 0.1945 0.1945 0.3889  1 V 2.11
5 F 0.5963 0.0963 0.1927  2 V 2.11
6 F 0.0963 0.5963 0.1927  2 V 2.11
7 F 0.9037 0.4037 0.8073  2 V 2.11
8 F 0.8055 0.8055 0.6111  1 V 2.11
9 F 0.0000 0.0000 0.0000  2 V 2.13
10 F 0.4037 0.9037 0.8073  2 V 2.11
11 V 0.9024 0.9024 0.8047  6 F 2.11-2.13
12 V 0.0976 0.0976 0.1953  6 F 2.11-2.13

=====

Crystalline KV3F9 at its relaxed geometry, computed with PBE+U.

Computed properties:
Raw total energy   -77.30 eV per cell
Calculated volume   15.45 A^3/atom
Density of states at the Fermi level   0.246 states/eV/atom
Crystal system   hexagonal

Cell lengths 3.9767, 7.6373, 7.6373 Å; angles 120.00, 90.00, 90.00 degrees
With the nearest neighbours (Å) after each atom.
Sites, in units of the cell vectors:
1 V 0.5000 0.5000 0.5000  6 F 1.99-2.02
2 V 0.5000 0.5000 0.0000  6 F 1.99-2.02
3 V 0.5000 0.0000 0.5000  6 F 1.99-2.02
4 F 0.5000 0.2006 0.7994  2 V 2.02
5 F 0.0000 0.5000 0.5000  2 V 1.99
6 F 0.0000 0.0000 0.5000  2 V 1.99
7 F 0.5000 0.7994 0.5988  2 V 2.02
8 F 0.5000 0.4012 0.2006  2 V 2.02
9 F 0.0000 0.5000 0.0000  2 V 1.99
10 F 0.5000 0.7994 0.2006  2 V 2.02
11 F 0.5000 0.5988 0.7994  2 V 2.02
12 F 0.5000 0.2006 0.4012  2 V 2.02
13 K 0.0000 0.0000 0.0000  12 F 3.32

=====

Crystalline K3V2F7 at its relaxed geometry, computed with PBE+U.

Computed properties:
Energy above the lowest structure with this stoichiometry   0.0376 eV per atom
Calculated volume   16.24 A^3/atom
Density of states at the Fermi level   0.000 states/eV/atom
Crystal system   orthorhombic

Cell lengths 4.1533, 4.2317, 11.2864 Å; angles 100.81, 90.00, 90.00 degrees
With the nearest neighbours (Å) after each atom.
Sites, in units of the cell vectors:
1 F 0.0000 0.0000 0.0000  2 V 2.13
2 F 0.0000 0.8091 0.6181  1 V 2.10
3 F 0.5000 0.0953 0.1907  2 V 2.08
4 F 0.0000 0.4053 0.8105  2 V 2.12
5 F 0.0000 0.1909 0.3819  1 V 2.10
6 F 0.0000 0.5947 0.1895  2 V 2.12
7 F 0.5000 0.9047 0.8093  2 V 2.08
8 K 0.5000 0.5000 0.0000  12 F 2.95-2.99
9 K 0.5000 0.6825 0.3650  8 F 2.85-2.97
10 K 0.5000 0.3175 0.6350  8 F 2.85-2.97
11 V 0.0000 0.9037 0.8075  6 F 2.08-2.13
12 V 0.0000 0.0963 0.1925  6 F 2.08-2.13

=====

Crystalline KVF3 at its relaxed geometry, computed with PBE+U.

Computed properties:
Raw total energy   -109.21 eV per cell
Calculated volume   14.92 A^3/atom
Density of states at the Fermi level   0.000 states/eV/atom
Crystal system   orthorhombic

Cell lengths 19.1678, 5.5744, 7.5672 Å; angles 90.00, 158.34, 90.00 degrees
With the nearest neighbours (Å) after each atom.
Sites, in units of the cell vectors:
1 F 0.7681 0.9857 0.2678  2 V 2.16-2.18
2 F 0.2319 0.0143 0.7322  2 V 2.16-2.18
3 F 0.1293 0.7501 0.1293  2 V 2.18
4 F 0.3707 0.2501 0.3707  2 V 2.18
5 F 0.6293 0.7499 0.6293  2 V 2.18
6 F 0.5494 0.8068 0.0495  2 V 2.10-2.28
7 F 0.0494 0.6932 0.5495  2 V 2.10-2.28
8 F 0.7319 0.4857 0.2322  2 V 2.16-2.18
9 F 0.9506 0.3068 0.4505  2 V 2.10-2.28
10 F 0.8707 0.2499 0.8707  2 V 2.18
11 F 0.2681 0.5143 0.7678  2 V 2.16-2.18
12 F 0.4506 0.1932 0.9505  2 V 2.10-2.28
13 K 0.5956 0.2500 0.5955  7 F 2.54-2.82
14 K 0.0956 0.2500 0.0955  7 F 2.54-2.82
15 K 0.9044 0.7500 0.9045  7 F 2.54-2.82
16 K 0.4044 0.7500 0.4045  7 F 2.54-2.82
17 V 0.1192 0.3144 0.6192  6 F 2.10-2.28
18 V 0.6192 0.1856 0.1192  6 F 2.10-2.28
19 V 0.3808 0.8144 0.8808  6 F 2.10-2.28
20 V 0.8808 0.6856 0.3808  6 F 2.10-2.28

=====

Crystalline KVF3 at its relaxed geometry, computed with PBE+U.

Computed properties:
Raw total energy   -28.03 eV per cell
Calculated volume   15.04 A^3/atom
Density of states at the Fermi level   0.000 states/eV/atom
Crystal system   cubic

Cell lengths 4.2204, 4.2207, 4.2204 Å; angles 90.00, 90.00, 90.00 degrees
With the nearest neighbours (Å) after each atom.
Sites, in units of the cell vectors:
1 K 0.5000 0.5000 0.5000  12 F 2.98
2 F 0.5000 0.0000 0.0000  2 V 2.11
3 F 0.0000 0.0000 0.5000  2 V 2.11
4 F 0.0000 0.5000 0.0000  2 V 2.11
5 V 0.0000 0.0000 0.0000  6 F 2.11

=====

Crystalline KVF3 at its relaxed geometry, computed with PBE+U.

Computed properties:
Raw total energy   -19.79 eV per cell
Calculated volume   19.72 A^3/atom
Density of states at the Fermi level   1.706 states/eV/atom
Crystal system   cubic

Cell lengths 4.6200, 4.6200, 4.6200 Å; angles 90.00, 90.00, 90.00 degrees
With the nearest neighbours (Å) after each atom.
Sites, in units of the cell vectors:
1 F 0.5000 0.0000 0.0000  2 K 2.31
2 F 0.0000 0.5000 0.0000  2 K 2.31
3 F 0.0000 0.0000 0.5000  2 K 2.31
4 K 0.0000 0.0000 0.0000  6 F 2.31
5 V 0.5000 0.5000 0.5000  12 F 3.27

=====

Crystalline K5V2F12 at its relaxed geometry, computed with PBE+U.

Computed properties:
Raw total energy   -92.18 eV per cell
Calculated volume   15.29 A^3/atom
Density of states at the Fermi level   0.031 states/eV/atom
Crystal system   monoclinic

Cell lengths 7.2936, 7.2936, 6.4525 Å; angles 74.34, 74.34, 63.15 degrees
With the nearest neighbours (Å) after each atom.
Sites, in units of the cell vectors:
1 K 0.7353 0.7353 0.8990  7 F 2.57-2.79
2 K 0.6648 0.6648 0.4227  5 F 2.69-2.71
3 K 0.2647 0.2647 0.1010  7 F 2.57-2.79
4 K 0.0000 0.0000 0.5000  4 F 2.79
5 K 0.3352 0.3352 0.5773  5 F 2.69-2.71
6 F 0.6192 0.1134 0.2749  1 V 2.01
7 F 0.0901 0.0901 0.9687  3 F 2.15-2.40, 2 V 2.18
8 F 0.3808 0.8866 0.7251  1 V 2.01
9 F 0.6450 0.1427 0.8156  1 V 2.04
10 F 0.8866 0.3808 0.7251  1 V 2.01
11 F 0.1134 0.6192 0.2749  1 V 2.01
12 F 0.5085 0.5085 0.8264  5 F 2.18-2.44, 2 V 2.21
13 F 0.4915 0.4915 0.1736  5 F 2.18-2.44, 2 V 2.21
14 F 0.9099 0.9099 0.0313  3 F 2.15-2.40, 2 V 2.18
15 F 0.8573 0.3550 0.1844  1 V 2.04
16 F 0.1427 0.6450 0.8156  1 V 2.04
17 F 0.3550 0.8573 0.1844  1 V 2.04
18 V 0.7509 0.2491 0.0000  8 F 2.01-2.21
19 V 0.2491 0.7509 0.0000  8 F 2.01-2.21

=====

Crystalline KV2F8 at its relaxed geometry, computed with PBE+U.

Computed properties:
Raw total energy   -61.29 eV per cell
Calculated volume   14.88 A^3/atom
Density of states at the Fermi level   0.269 states/eV/atom
Crystal system   orthorhombic

Cell lengths 3.9590, 6.7272, 6.7272 Å; angles 84.98, 72.91, 72.91 degrees
With the nearest neighbours (Å) after each atom.
Sites, in units of the cell vectors:
1 V 0.0000 0.6739 0.3261  6 F 1.83-2.00
2 V 0.0000 0.3261 0.6739  6 F 1.83-2.00
3 F 0.5000 0.6726 0.3274  2 V 1.98
4 F 0.5000 0.3274 0.6726  2 V 1.98
5 F 0.8548 0.3324 0.9581  1 V 1.83
6 F 0.1360 0.3644 0.3644  2 V 2.00
7 F 0.1452 0.0419 0.6676  1 V 1.83
8 F 0.8548 0.9581 0.3324  1 V 1.83
9 F 0.8640 0.6356 0.6356  2 V 2.00
10 F 0.1452 0.6676 0.0419  1 V 1.83
11 K 0.5000 0.0000 0.0000  10 F 2.93-2.98

=====

Crystalline KVF3 at its relaxed geometry, computed with PBE+U.

Computed properties:
Raw total energy   -48.42 eV per cell
Calculated volume   17.50 A^3/atom
Density of states at the Fermi level   0.002 states/eV/atom
Crystal system   orthorhombic

Cell lengths 7.5222, 7.5222, 5.1426 Å; angles 90.00, 90.00, 143.02 degrees
With the nearest neighbours (Å) after each atom.
Sites, in units of the cell vectors:
1 V 0.4349 0.5651 0.2500  2 F 1.87
2 V 0.5651 0.4349 0.7500  2 F 1.87
3 K 0.1650 0.8350 0.2500  8 F 2.68-2.83
4 K 0.8350 0.1650 0.7500  8 F 2.68-2.83
5 F 0.4118 0.0812 0.7500  1 V 1.87
6 F 0.0000 0.0000 0.0000  2 F 2.57, 2 K 2.68, 4 V 2.86
7 F 0.0812 0.4118 0.2500  1 V 1.87
8 F 0.0000 0.0000 0.5000  2 F 2.57, 2 K 2.68, 4 V 2.86
9 F 0.5882 0.9188 0.2500  1 V 1.87
10 F 0.9188 0.5882 0.7500  1 V 1.87

=====

Crystalline KVF3 at its relaxed geometry, computed with PBE+U.

Computed properties:
Raw total energy   -53.01 eV per cell
Calculated volume   17.03 A^3/atom
Density of states at the Fermi level   0.416 states/eV/atom
Crystal system   hexagonal

Cell lengths 3.7323, 3.7323, 14.1158 Å; angles 90.00, 90.00, 120.00 degrees
With the nearest neighbours (Å) after each atom.
Sites, in units of the cell vectors:
1 F 0.3333 0.6667 0.8935  1 V 2.03
2 F 0.3333 0.6667 0.6065  1 V 2.03
3 F 0.6667 0.3333 0.1065  1 V 2.03
4 F 0.0000 0.0000 0.2500  3 V 2.15
5 F 0.0000 0.0000 0.7500  3 V 2.15
6 F 0.6667 0.3333 0.3935  1 V 2.03
7 V 0.6667 0.3333 0.2500  5 F 2.03-2.15
8 V 0.3333 0.6667 0.7500  5 F 2.03-2.15
9 K 0.0000 0.0000 0.0000  6 F 2.63
10 K 0.0000 0.0000 0.5000  6 F 2.63

=====

Crystalline KVF5 at its relaxed geometry, computed with PBE+U.

Computed properties:
Raw total energy   -37.69 eV per cell
Calculated volume   18.54 A^3/atom
Density of states at the Fermi level   0.000 states/eV/atom
Crystal system   orthorhombic

Cell lengths 3.9553, 6.1162, 6.1161 Å; angles 73.46, 71.13, 71.13 degrees
With the nearest neighbours (Å) after each atom.
Sites, in units of the cell vectors:
1 F 0.3033 0.7017 0.7017  1 V 1.81
2 F 0.5041 0.7578 0.2422  1 V 1.89
3 F 0.0044 0.5000 0.5000  2 V 1.98
4 F 0.5041 0.2422 0.7578  1 V 1.89
5 F 0.7067 0.2983 0.2983  1 V 1.81
6 V 0.5042 0.5000 0.5000  6 F 1.81-1.98
7 K 0.0040 0.0000 0.0000  6 F 2.65-2.68

=====

Crystalline KVF3 at its relaxed geometry, computed with PBE+U.

Computed properties:
Raw total energy   -55.17 eV per cell
Calculated volume   16.08 A^3/atom
Density of states at the Fermi level   0.000 states/eV/atom
Crystal system   monoclinic

Cell lengths 9.0688, 7.5911, 3.3776 Å; angles 116.37, 90.06, 124.69 degrees
With the nearest neighbours (Å) after each atom.
Sites, in units of the cell vectors:
1 K 0.0334 0.9787 0.7380  3 F 2.54-2.83
2 K 0.6359 0.2683 0.5275  3 F 2.54-2.83
3 F 0.7634 0.7715 0.0304  1 V 2.03
4 F 0.2321 0.8670 0.1269  2 V 2.13
5 F 0.1810 0.4288 0.6889  3 V 2.18-2.21
6 F 0.4883 0.8182 0.5773  3 V 2.18-2.21
7 F 0.4372 0.3800 0.1392  2 V 2.13
8 F 0.9059 0.4752 0.2349  1 V 2.03
9 V 0.1870 0.6429 0.4029  6 F 2.03-2.21
10 V 0.4823 0.6040 0.8632  6 F 2.03-2.21

=====

The highest calculated volume belongs to which entry? number 6

=====

Which formula does entry 10 have? KVF3

=====

Among the records above, which one has the highest calculated volume? number 6